The following is a DFT calculation (PBE) of Ba2Sr4Ac after structural relaxation.

Results
**Magnetic moment**: 0.000 μB/f.u.
**Energy of formation**: 0.04 eV/atom
**DOS(E_F)**: 30.37 states/eV per cell

Geometry as CIF:
```
data_Ba2Sr4Ac
_cell_length_a 4.2392
_cell_length_b 4.2392
_cell_length_c 73.7854
_cell_angle_alpha 90.00
_cell_angle_beta 90.00
_cell_angle_gamma 120.00
_space_group_name_H-M_alt 'R -3 m'
_space_group_IT_number 166
_space_group_name_Hall '-R 3 2"'
loop_
_atom_site_label
_atom_site_fract_x
_atom_site_fract_y
_atom_site_fract_z
_atom_site_occupancy
Ba1 0.0000 0.0000 0.0724 1
Sr1 0.0000 0.0000 0.2118 1
Sr2 0.0000 0.0000 0.3569 1
Ac1 0.0000 0.0000 0.5000 1
```